Compound: CaMo2O4
Source: Alexandria
Functional: GGA+U
Structure: relaxed

a b c (Å): 6.5858 6.5858 16.1446
angles (deg): 90.00 90.00 120.00
Positions (direct):
O (0.1511, 0.8489, 0.9053)
Mo (0.6667, 0.3333, 0.0522)
O (0.8196, 0.6392, 0.5700)
Mo (0.1683, 0.3366, 0.1675)
Mo (0.3300, 0.1650, 0.8336)
Mo (0.1683, 0.8317, 0.1675)
Mo (0.3333, 0.6667, 0.7196)
O (0.9870, 0.4935, 0.7589)
O (0.0000, 0.0000, 0.7648)
O (0.6667, 0.3333, 0.9039)
O (0.3230, 0.1615, 0.0934)
O (0.5065, 0.4935, 0.7589)
Ca (0.6667, 0.3333, 0.2911)
Mo (0.5002, 0.0005, 0.4987)
O (0.4795, 0.9589, 0.2428)
O (0.8385, 0.6770, 0.0934)
Mo (0.6634, 0.8317, 0.1675)
O (0.3608, 0.1804, 0.5700)
O (0.1511, 0.3023, 0.9053)
O (0.1883, 0.3766, 0.4190)
Ca (0.3333, 0.6667, 0.9525)
Mo (0.3333, 0.6667, 0.3334)
O (0.3333, 0.6667, 0.5707)
Mo (0.8350, 0.6700, 0.8336)
O (0.6667, 0.3333, 0.4294)
Ca (0.6667, 0.3333, 0.6622)
O (0.3333, 0.6667, 0.0981)
Mo (0.8350, 0.1650, 0.8336)
O (0.4795, 0.5205, 0.2428)
O (0.6234, 0.8117, 0.4190)
Ca (0.0000, 0.0000, 0.9983)
O (0.8385, 0.1615, 0.0934)
Mo (0.5002, 0.4998, 0.4987)
O (0.6977, 0.8489, 0.9053)
O (0.8196, 0.1804, 0.5700)
O (0.0411, 0.5205, 0.2428)
O (0.0000, 0.0000, 0.2329)
Ca (0.0000, 0.0000, 0.6208)
O (0.5065, 0.0130, 0.7589)
O (0.1883, 0.8117, 0.4190)
Ca (0.0000, 0.0000, 0.3788)
Mo (0.9995, 0.4998, 0.4987)

## Properties
**Symmetry**: No. 156
**Total magnetic moment**: 6.00 μB per formula unit
**ΔE to the lowest computed polymorph**: 0.0940 eV/atom